A:
Here is a geometry-optimized Be3AuI structure from the Alexandria database. Energies are from PBE.

a b c (Å): 4.7210 4.7210 4.7210
angles (deg): 90.00 90.00 90.00
Positions (direct):
1 I 0.0000 0.0000 0.0000
2 Be 0.0000 0.5000 0.0000
3 Be 0.0000 0.0000 0.5000
4 Be 0.5000 0.0000 0.0000
5 Au 0.5000 0.5000 0.5000



B:
Here is a geometry-optimized Be3AuI structure from the Alexandria database. Energies are from PBE.

a b c (Å): 4.5594 4.5594 4.5594
angles (deg): 90.00 90.00 90.00
Positions (direct):
1 I 0.5000 0.5000 0.5000
2 Be 0.0000 0.5000 0.0000
3 Be 0.0000 0.0000 0.5000
4 Be 0.5000 0.0000 0.0000
5 Au 0.0000 0.0000 0.0000



Order of stability, best first: B, A



A:
Here is a geometry-optimized Be2InAu2 structure from the Alexandria database. Energies are from PBE.

a b c (Å): 7.3785 7.3785 2.8647
angles (deg): 90.00 90.00 90.00
Positions (direct):
1 Be 0.1501 0.6501 0.5000
2 Be 0.6501 0.8499 0.5000
3 Be 0.8499 0.3499 0.5000
4 Be 0.3499 0.1501 0.5000
5 Au 0.3585 0.8585 0.0000
6 Au 0.8585 0.6415 0.0000
7 Au 0.6415 0.1415 0.0000
8 Au 0.1415 0.3585 0.0000
9 In 0.0000 0.0000 0.0000
10 In 0.5000 0.5000 0.0000



B:
Here is a geometry-optimized Be2InAu2 structure from the Alexandria database. Energies are from PBE.

a b c (Å): 7.1258 7.1258 2.9996
angles (deg): 90.00 90.00 90.00
Positions (direct):
1 Be 0.3766 0.8766 0.0000
2 Be 0.8766 0.6234 0.0000
3 Be 0.6234 0.1234 0.0000
4 Be 0.1234 0.3766 0.0000
5 Au 0.1599 0.6599 0.5000
6 Au 0.6599 0.8401 0.5000
7 Au 0.8401 0.3401 0.5000
8 Au 0.3401 0.1599 0.5000
9 In 0.0000 0.0000 0.0000
10 In 0.5000 0.5000 0.0000



Order of stability, best first: B, A



A:
Here is a geometry-optimized BeInAu3 structure from the Alexandria database. Energies are from PBE.

a b c (Å): 4.6728 4.6628 9.9073
angles (deg): 115.88 81.38 80.63
Positions (direct):
1 Be 0.6818 0.5468 0.9280
2 Be 0.3182 0.4532 0.0720
3 In 0.7247 0.2055 0.3527
4 In 0.2753 0.7945 0.6473
5 Au 0.8195 0.2860 0.6375
6 Au 0.1805 0.7140 0.3625
7 Au 0.6735 0.9758 0.8535
8 Au 0.3265 0.0242 0.1465
9 Au 0.1999 0.5101 0.8555
10 Au 0.8001 0.4899 0.1445



B:
Here is a geometry-optimized BeInAu3 structure from the Alexandria database. Energies are from PBE.

a b c (Å): 5.2025 5.2025 5.2025
angles (deg): 90.00 90.00 90.00
Positions (direct):
1 Be 0.5000 0.5000 0.5000
2 Au 0.0000 0.5000 0.0000
3 Au 0.5000 0.0000 0.0000
4 Au 0.0000 0.0000 0.5000
5 In 0.0000 0.0000 0.0000



Order of stability, best first: A, B



A:
Here is a geometry-optimized BeInAu3 structure from the Alexandria database. Energies are from PBE.

a b c (Å): 4.7428 6.5954 6.5954
angles (deg): 119.99 90.00 90.00
Positions (direct):
1 Be 0.0000 0.0000 0.0000
2 Be 0.5000 0.0000 0.0000
3 In 0.7499 0.6667 0.3334
4 In 0.2501 0.3333 0.6666
5 Au 0.7500 0.6338 0.8169
6 Au 0.2500 0.8168 0.6338
7 Au 0.2500 0.3662 0.1831
8 Au 0.7500 0.1831 0.3662
9 Au 0.2500 0.8169 0.1831
10 Au 0.7500 0.1831 0.8169



B:
Here is a geometry-optimized BeInAu3 structure from the Alexandria database. Energies are from PBE.

a b c (Å): 4.5635 4.5635 4.5635
angles (deg): 90.00 90.00 90.00
Positions (direct):
1 Be 0.0000 0.0000 0.0000
2 Au 0.0000 0.5000 0.0000
3 Au 0.0000 0.0000 0.5000
4 Au 0.5000 0.0000 0.0000
5 In 0.5000 0.5000 0.5000



Order of stability, best first: A, B



A:
Here is a geometry-optimized BeInAu2 structure from the Alexandria database. Energies are from PBE.

a b c (Å): 4.2541 4.2541 3.8135
angles (deg): 90.00 90.00 94.28
Positions (direct):
1 Be 0.5000 0.0000 0.5000
2 Au 0.0000 0.0000 0.0000
3 Au 0.5000 0.5000 0.0000
4 In 0.0000 0.5000 0.5000



B:
Here is a geometry-optimized BeInAu2 structure from the Alexandria database. Energies are from PBE.

a b c (Å): 4.9213 4.9213 8.0959
angles (deg): 72.31 72.31 90.00
Positions (direct):
1 Be 0.5000 0.5000 0.0000
2 Be 0.2500 0.7500 0.5000
3 Au 0.5253 0.1250 0.2500
4 Au 0.2247 0.6250 0.2500
5 Au 0.3750 0.4747 0.7500
6 Au 0.8750 0.7753 0.7500
7 In 0.0000 0.0000 0.0000
8 In 0.7500 0.2500 0.5000



Order of stability, best first: A, B



A:
Here is a geometry-optimized BeInAu2 structure from the Alexandria database. Energies are from PBE.

a b c (Å): 3.0501 3.0500 7.2472
angles (deg): 90.00 90.00 90.00
Positions (direct):
1 Be 0.5000 0.5000 0.2500
2 Au 0.0000 0.0000 0.0529
3 Au 0.0000 0.0000 0.4471
4 In 0.5000 0.5000 0.7500



B:
Here is a geometry-optimized BeInAu2 structure from the Alexandria database. Energies are from PBE.

a b c (Å): 3.0217 3.1020 7.6398
angles (deg): 75.61 90.00 90.00
Positions (direct):
1 Be 0.5000 0.2500 0.2500
2 Au 0.0000 0.8565 0.0605
3 Au 0.0000 0.6435 0.4395
4 In 0.5000 0.7500 0.7500



C:
Here is a geometry-optimized BeInAu2 structure from the Alexandria database. Energies are from PBE.

a b c (Å): 4.1822 4.1822 8.7975
angles (deg): 87.84 87.84 91.52
Positions (direct):
1 Be 0.2539 0.2539 0.3725
2 Be 0.7461 0.7461 0.6275
3 In 0.3549 0.3549 0.8205
4 In 0.6451 0.6451 0.1795
5 Au 0.8540 0.8540 0.8725
6 Au 0.7478 0.2522 0.5000
7 Au 0.1460 0.1460 0.1275
8 Au 0.2522 0.7478 0.5000



D:
Here is a geometry-optimized BeInAu2 structure from the Alexandria database. Energies are from PBE.

a b c (Å): 4.5940 4.5940 4.5940
angles (deg): 60.00 60.00 60.00
Positions (direct):
1 Be 0.0000 0.0000 0.0000
2 Au 0.2500 0.2500 0.2500
3 Au 0.7500 0.7500 0.7500
4 In 0.5000 0.5000 0.5000



Order of stability, best first: C, A, B, D



A:
Here is a geometry-optimized BeInAu2 structure from the Alexandria database. Energies are from PBE.

a b c (Å): 4.6084 4.6084 4.6084
angles (deg): 60.00 60.00 60.00
Positions (direct):
1 Be 0.5000 0.5000 0.5000
2 Au 0.0000 0.0000 0.0000
3 Au 0.7500 0.7500 0.7500
4 In 0.2500 0.2500 0.2500



B:
Here is a geometry-optimized BeInAu2 structure from the Alexandria database. Energies are from PBE.

a b c (Å): 5.4190 5.4190 5.4190
angles (deg): 147.51 124.18 66.09
Positions (direct):
1 Be 0.7500 0.2500 0.5000
2 Au 0.9485 0.9485 0.0000
3 Au 0.5515 0.5515 0.0000
4 In 0.2500 0.7500 0.5000



C:
Here is a geometry-optimized BeInAu2 structure from the Alexandria database. Energies are from PBE.

a b c (Å): 3.3523 3.3431 6.3369
angles (deg): 90.00 90.00 90.00
Positions (direct):
1 Be 0.0000 0.0000 0.4042
2 Au 0.0000 0.0000 0.0178
3 Au 0.5000 0.5000 0.3204
4 In 0.5000 0.5000 0.7576



Order of stability, best first: C, B, A



A:
Here is a geometry-optimized BeInAu2 structure from the Alexandria database. Energies are from PBE.

a b c (Å): 4.1612 4.1612 5.7566
angles (deg): 65.88 65.88 55.70
Positions (direct):
1 Be 0.5699 0.5699 0.2709
2 Au 0.9755 0.9755 0.0753
3 Au 0.1895 0.1895 0.4153
4 In 0.7650 0.7650 0.7386



B:
Here is a geometry-optimized BeInAu2 structure from the Alexandria database. Energies are from PBE.

a b c (Å): 3.7945 4.4154 4.5564
angles (deg): 79.03 90.00 90.00
Positions (direct):
1 Be 0.0000 0.5412 0.2674
2 Au 0.0000 0.0497 0.0104
3 Au 0.5000 0.2548 0.4143
4 In 0.5000 0.6543 0.8078



Order of stability, best first: A, B



A:
Here is a geometry-optimized BeIn3Au structure from the Alexandria database. Energies are from PBE.

a b c (Å): 5.3446 5.3446 5.3446
angles (deg): 90.00 90.00 90.00
Positions (direct):
1 Be 0.5000 0.5000 0.5000
2 Au 0.0000 0.0000 0.0000
3 In 0.0000 0.5000 0.0000
4 In 0.0000 0.0000 0.5000
5 In 0.5000 0.0000 0.0000



B:
Here is a geometry-optimized BeIn3Au structure from the Alexandria database. Energies are from PBE.

a b c (Å): 4.8920 4.8920 4.8920
angles (deg): 90.00 90.00 90.00
Positions (direct):
1 Be 0.0000 0.0000 0.0000
2 Au 0.5000 0.5000 0.5000
3 In 0.0000 0.5000 0.0000
4 In 0.0000 0.0000 0.5000
5 In 0.5000 0.0000 0.0000



Order of stability, best first: B, A



A:
Here is a geometry-optimized BeInAu4 structure from the Alexandria database. Energies are from PBE.

a b c (Å): 5.5152 5.5152 5.5152
angles (deg): 60.00 60.00 60.00
Positions (direct):
1 Be 0.7500 0.7500 0.7500
2 In 0.0000 0.0000 0.0000
3 Au 0.8741 0.3753 0.3753
4 Au 0.3753 0.3753 0.8741
5 Au 0.3753 0.8741 0.3753
6 Au 0.3753 0.3753 0.3753



B:
Here is a geometry-optimized BeInAu4 structure from the Alexandria database. Energies are from PBE.

a b c (Å): 5.3920 4.7785 9.3152
angles (deg): 108.99 106.82 90.00
Positions (direct):
1 Be 0.5000 0.0000 0.5000
2 Be 0.0000 0.5000 0.5000
3 In 0.7998 0.7500 0.0000
4 In 0.2002 0.2500 0.0000
5 Au 0.5555 0.1166 0.7981
6 Au 0.7574 0.3834 0.2019
7 Au 0.4445 0.8834 0.2019
8 Au 0.2426 0.6166 0.7981
9 Au 0.9662 0.0121 0.6425
10 Au 0.3238 0.4879 0.3575
11 Au 0.0338 0.9879 0.3575
12 Au 0.6762 0.5121 0.6425



Order of stability, best first: B, A



A:
Here is a geometry-optimized BeZnIrAu structure from the Alexandria database. Energies are from PBE.

a b c (Å): 3.6098 2.8195 11.1461
angles (deg): 90.00 90.00 90.00
Positions (direct):
1 Be 0.0000 0.0000 0.2445
2 Be 0.0000 0.5000 0.7445
3 Zn 0.5000 0.0000 0.0909
4 Zn 0.5000 0.5000 0.5909
5 Ir 0.5000 0.0000 0.7918
6 Ir 0.5000 0.5000 0.2918
7 Au 0.0000 0.0000 0.4630
8 Au 0.0000 0.5000 0.9630



B:
Here is a geometry-optimized BeZnIrAu structure from the Alexandria database. Energies are from PBE.

a b c (Å): 2.9384 4.1099 9.2957
angles (deg): 90.00 90.00 90.00
Positions (direct):
1 Be 0.0000 0.5000 0.7522
2 Be 0.5000 0.0000 0.2522
3 Zn 0.0000 0.0000 0.9989
4 Zn 0.5000 0.5000 0.4989
5 Ir 0.0000 0.0000 0.4382
6 Ir 0.5000 0.5000 0.9382
7 Au 0.0000 0.5000 0.2143
8 Au 0.5000 0.0000 0.7143



Order of stability, best first: A, B